# 1
The following is a PBE-GGA calculation of a relaxed structure of HoMg8Pd2, from the Alexandria database.

Unit cell a=8.0886 b=12.1633 c=5.2546 alpha=90.00 beta=105.60 gamma=90.00
Space group C2/m (No. 12)
Asymmetric unit:
Ho (0.0000, 0.0000, 0.0000) [2 per cell]
Mg (0.0000, 0.2651, 0.0000) [4 per cell]
Mg (0.0878, 0.5000, 0.7825) [4 per cell]
Mg (0.1990, 0.1264, 0.5786) [8 per cell]
Pd (0.0000, 0.3074, 0.5000) [4 per cell]

## Properties
* spin magnetization: 0.0 μB/cell
* electronic total energy: -2.736 eV/atom
* crystal system: monoclinic

# 2
The following is a PBE-GGA calculation of a relaxed structure of AsPRu2, from the Alexandria database.

Unit cell a=3.0869 b=3.4279 c=5.7992 alpha=90.00 beta=90.00 gamma=90.00
Space group Pmmm (No. 47)
Asymmetric unit:
As (0.0000, 0.0000, 0.0000) [1 per cell]
P (0.5000, 0.0000, 0.5000) [1 per cell]
Ru (0.5000, 0.5000, 0.2464) [2 per cell]

## Properties
* spin magnetization: 0.0 μB/cell
* energy above the most stable polymorph in this dataset: 275 meV/atom
* crystal system: orthorhombic

# 3
The following is a PBE-GGA calculation of a relaxed structure of V2GaS, from the Alexandria database.

Unit cell a=3.3228 b=3.3228 c=18.7023 alpha=90.00 beta=90.00 gamma=120.00
Space group R-3m (No. 166, hexagonal axes)
Asymmetric unit:
V (0.0000, 0.0000, 0.2300) [6 per cell]
Ga (0.0000, 0.0000, 0.0000) [3 per cell]
S (0.0000, 0.0000, 0.5000) [3 per cell]

## Properties
* spin magnetization: 0.0 μB/cell
* energy above the most stable polymorph in this dataset: 0 meV/atom
* ΔE_f (raw): -1.2 eV per formula unit
* crystal system: trigonal

# 4
The following is a PBE-GGA calculation of a relaxed structure of Th2ZnGa3, from the Alexandria database.

Unit cell a=8.4433 b=8.5795 c=14.8440 alpha=90.00 beta=90.00 gamma=90.00
Space group Fmmm (No. 69)
Asymmetric unit:
Th (0.2476, 0.0000, 0.0000) [8 per cell]
Th (0.2500, 0.2500, 0.2500) [8 per cell]
Zn (0.0000, 0.0000, 0.3336) [8 per cell]
Ga (0.0000, 0.0000, 0.1678) [8 per cell]
Ga (0.0000, 0.2475, 0.4161) [16 per cell]

## Properties
* spin magnetization: 0.0 μB/cell
* electronic total energy: -4.765 eV/atom
* crystal system: orthorhombic